DyYPd after structural relaxation. Source: Alexandria, functional GGA-PBE.

Geometry as POSCAR:
```
DyYPd
1.0
-1.393 -1.343 2.981
0.142 -3.262 -1.404
6.252 1.560 1.505
Dy Y Pd
1 1 1
direct
0.030 0.030 0.060
0.305 0.305 0.611
0.665 0.665 0.329
```

Values from the calculation:
As for the density of states at the Fermi level: 0.907 states/eV per atom. Its excess energy over the best structure of this formula in the dataset is 8 meV per atom. For the calculated volume, the calculation gives 77.33 Å³ per cell. The space-group type is I4mm. The calculation puts the total energy at -17.907 eV per formula unit.